## Ba2NbCoO6 (GGA-PBEsol)

Data for a relaxed Ba2NbCoO6 crystal.

Cell lengths 5.611, 5.611, 5.611 Å; angles 60.00, 60.00, 60.00 degrees
Positions (direct):
Ba1 0.250 0.250 0.250
Ba2 0.750 0.750 0.750
Nb1 0.000 0.000 0.000
Co1 0.500 0.500 0.500
O1 0.254 0.254 0.746
O2 0.254 0.746 0.254
O3 0.254 0.746 0.746
O4 0.746 0.254 0.254
O5 0.746 0.254 0.746
O6 0.746 0.746 0.254

**Uncorrected energy**: -7.82 eV per atom
**V**: 12.49 A^3/atom